First-principles (GGA-PBE) data for CoAsRhBr2 after structural relaxation, as listed in Alexandria.

extended XYZ file:
```
5
Lattice="-0.3699 1.3994 -5.0297 -3.7404 -3.5888 -0.7234 -3.2137 3.1266 1.1062" Properties=species:S:1:pos:R:3 pbc="T T T"
Co -3.6620 0.4686 -2.3235
As -1.6069 1.5633 0.5531
Rh 0.0000 0.0000 0.0000
Br -1.8702 -1.7944 -0.3617
Br -0.1849 0.6997 -2.5149
```

formation energy (no corrections)	757.1	meV/atom
space-group type	P4/mmm (123)
calculated density	5.2	Mg/m³
DOS(E_F)	8.38	states/eV/f.u.